(1)
A plane-wave DFT calculation with GGA-PBE was carried out for a relaxed Y3HfTc crystal.

Calculated values
The calculation puts the size of the total moment at 1.666 μB/f.u. For the energy above the most stable polymorph in this dataset, the calculation gives 0 meV per atom. For the energy relative to the elements, the calculation gives 0.5111 eV/atom. The density of states at the Fermi level comes out at 6.82 states/eV per cell. As for the total energy: -0.546 Ry per atom.

a = 5.286 Å, b = 5.286 Å, c = 5.286 Å
α = 90.00°, β = 90.00°, γ = 90.00°
Positions (direct):
Y 0.000 0.000 0.500
Y 0.000 0.500 0.000
Y 0.500 0.000 0.000
Hf 0.500 0.500 0.500
Tc 0.000 0.000 0.000

(2)
A plane-wave DFT calculation with GGA-PBE was carried out for a relaxed YHfZnTc crystal.

Calculated values
The calculation puts the size of the total moment at 0.000 μB/f.u. For the energy relative to the elements, the calculation gives -0.1835 eV/atom. The density of states at the Fermi level comes out at 15.88 states/eV per cell. As for the total energy: -0.529 Ry per atom.

a = 6.778 Å, b = 6.778 Å, c = 6.778 Å
α = 90.00°, β = 90.00°, γ = 90.00°
Positions (direct):
Y 0.000 0.000 0.000
Y 0.000 0.500 0.500
Y 0.500 0.000 0.500
Y 0.500 0.500 0.000
Hf 0.000 0.000 0.500
Hf 0.000 0.500 0.000
Hf 0.500 0.000 0.000
Hf 0.500 0.500 0.500
Zn 0.250 0.250 0.750
Zn 0.250 0.750 0.250
Zn 0.750 0.250 0.250
Zn 0.750 0.750 0.750
Tc 0.250 0.250 0.250
Tc 0.250 0.750 0.750
Tc 0.750 0.250 0.750
Tc 0.750 0.750 0.250

(3)
A plane-wave DFT calculation with GGA-PBE was carried out for a relaxed HfZn4Tc crystal.

Calculated values
The calculation puts the size of the total moment at 0.000 μB/f.u. For the energy relative to the elements, the calculation gives -0.2331 eV/atom. The density of states at the Fermi level comes out at 2.29 states/eV per cell. As for the total energy: -0.328 Ry per atom.

a = 5.007 Å, b = 5.007 Å, c = 5.007 Å
α = 60.00°, β = 60.00°, γ = 60.00°
Positions (direct):
Hf 0.000 0.000 0.000
Zn 0.376 0.376 0.376
Zn 0.376 0.376 0.872
Zn 0.376 0.872 0.376
Zn 0.872 0.376 0.376
Tc 0.750 0.750 0.750

(4)
A plane-wave DFT calculation with GGA-PBE was carried out for a relaxed Hf3ZnTc crystal.

Calculated values
The calculation puts the size of the total moment at 0.001 μB/f.u. For the energy above the most stable polymorph in this dataset, the calculation gives 470 meV per atom. For the energy relative to the elements, the calculation gives 1.0498 eV/atom. The density of states at the Fermi level comes out at 10.25 states/eV per cell. As for the total energy: -0.533 Ry per atom.

a = 4.808 Å, b = 4.808 Å, c = 4.808 Å
α = 90.00°, β = 90.00°, γ = 90.00°
Positions (direct):
Hf 0.000 0.000 0.500
Hf 0.000 0.500 0.000
Hf 0.500 0.000 0.000
Zn 0.000 0.000 0.000
Tc 0.500 0.500 0.500

(5)
A plane-wave DFT calculation with GGA-PBE was carried out for a relaxed Hf2Zn2Tc crystal.

Calculated values
The calculation puts the size of the total moment at 0.000 μB/f.u. For the energy above the most stable polymorph in this dataset, the calculation gives 0 meV per atom. For the energy relative to the elements, the calculation gives -0.2300 eV/atom. The density of states at the Fermi level comes out at 7.03 states/eV per cell. As for the total energy: -0.499 Ry per atom.

a = 3.651 Å, b = 14.271 Å, c = 3.348 Å
α = 90.00°, β = 90.00°, γ = 90.00°
Positions (direct):
Hf 0.000 0.107 0.000
Hf 0.000 0.893 0.000
Hf 0.500 0.393 0.000
Hf 0.500 0.607 0.000
Zn 0.000 0.303 0.500
Zn 0.000 0.697 0.500
Zn 0.500 0.197 0.500
Zn 0.500 0.803 0.500
Tc 0.000 0.500 0.500
Tc 0.500 0.000 0.500

(6)
A plane-wave DFT calculation with GGA-PBE was carried out for a relaxed Hf4ZnTc2 crystal.

Calculated values
The calculation puts the size of the total moment at 0.000 μB/f.u. For the energy relative to the elements, the calculation gives -0.1967 eV/atom. The density of states at the Fermi level comes out at 5.37 states/eV per cell. As for the total energy: -0.664 Ry per atom.

a = 4.554 Å, b = 4.554 Å, c = 6.608 Å
α = 90.00°, β = 90.00°, γ = 90.00°
Positions (direct):
Hf 0.000 0.500 0.242
Hf 0.000 0.500 0.758
Hf 0.500 0.000 0.242
Hf 0.500 0.000 0.758
Zn 0.000 0.000 0.500
Tc 0.000 0.000 0.000
Tc 0.500 0.500 0.500

(7)
A plane-wave DFT calculation with GGA-PBE was carried out for a relaxed HfZn2Tc crystal.

Calculated values
The calculation puts the size of the total moment at 0.000 μB/f.u. For the energy above the most stable polymorph in this dataset, the calculation gives 385 meV per atom. For the energy relative to the elements, the calculation gives 0.2122 eV/atom. The density of states at the Fermi level comes out at 9.98 states/eV per cell. As for the total energy: -0.405 Ry per atom.

a = 3.788 Å, b = 3.788 Å, c = 19.621 Å
α = 90.00°, β = 90.00°, γ = 90.00°
Positions (direct):
Hf 0.000 0.000 0.000
Hf 0.000 0.500 0.250
Hf 0.500 0.000 0.750
Hf 0.500 0.500 0.500
Zn 0.217 0.250 0.625
Zn 0.250 0.717 0.875
Zn 0.250 0.783 0.375
Zn 0.283 0.250 0.125
Zn 0.717 0.750 0.125
Zn 0.750 0.217 0.375
Zn 0.750 0.283 0.875
Zn 0.783 0.750 0.625
Tc 0.000 0.000 0.500
Tc 0.000 0.500 0.750
Tc 0.500 0.000 0.250
Tc 0.500 0.500 0.000

(8)
A plane-wave DFT calculation with GGA-PBE was carried out for a relaxed Hf2ZnTc crystal.

Calculated values
The calculation puts the size of the total moment at 0.000 μB/f.u. For the energy relative to the elements, the calculation gives -0.4145 eV/atom. The density of states at the Fermi level comes out at 2.05 states/eV per cell. As for the total energy: -0.610 Ry per atom.

a = 3.318 Å, b = 3.318 Å, c = 6.504 Å
α = 90.00°, β = 90.00°, γ = 90.00°
Positions (direct):
Hf 0.000 0.000 0.240
Hf 0.000 0.000 0.760
Zn 0.500 0.500 0.500
Tc 0.500 0.500 0.000